Ca4AcHg after structural relaxation. Source: the Alexandria database, functional GGA-PBE.

The structure in POSCAR format:
```
Ca4AcHg
1.0
6.6857 -0.7339 0.0000
-2.5576 10.0848 0.0000
-2.0641 -4.6755 7.1133
Ca Ac Hg
8 2 2
direct
0.3797 0.9362 0.6537
0.6203 0.0638 0.3463
0.2640 0.6378 0.7915
0.2260 0.2826 0.3463
0.9725 0.8464 0.2085
0.7740 0.7174 0.6537
0.7360 0.3622 0.2085
0.0275 0.1536 0.7915
0.3469 0.5969 0.1938
0.6531 0.4031 0.8062
0.2523 0.0023 0.0046
0.7477 0.9977 0.9954
```

Summary:
Its density of states at the Fermi level is 14.97 states/eV per cell. The calculation puts the energy of formation at -0.093 eV/atom. As for the density: 4.19 Mg/m³. As for the calculated total energy: -25.9 eV for the cell shown.